Entry 1:
DFT (PBE) results for BaDyH6Pt2 after structural relaxation.

Cell: 6.3230 6.3230 7.2966 Å, 106.59 106.59 88.11°
Sites, in units of the cell vectors:
Ba 0.0997 0.9003 0.7500
Ba 0.9003 0.0997 0.2500
Dy 0.4269 0.5731 0.2500
Dy 0.5731 0.4269 0.7500
H 0.1124 0.7237 0.2960
H 0.1803 0.3713 0.6295
H 0.2763 0.8876 0.2040
H 0.3330 0.6145 0.9448
H 0.3713 0.1803 0.1295
H 0.3855 0.6670 0.5552
H 0.6145 0.3330 0.4448
H 0.6287 0.8197 0.8705
H 0.6670 0.3855 0.0552
H 0.7237 0.1124 0.7960
H 0.8197 0.6287 0.3705
H 0.8876 0.2763 0.7040
Pt 0.1012 0.4444 0.8386
Pt 0.4444 0.1012 0.3386
Pt 0.5556 0.8988 0.6614
Pt 0.8988 0.5556 0.1614

For the total moment, the calculation gives 0.0 μB per cell. The final energy is -44.0 eV per formula unit. For the volume, the calculation gives 267.6 Å³ per cell. As for the density of states at the Fermi level: 0.250 states/eV/atom.

***

Entry 2:
DFT (PBE) results for LiB2Se3 after structural relaxation.

Cell: 9.3472 9.3472 6.7431 Å, 103.86 103.86 23.86°
Sites, in units of the cell vectors:
Li 0.1199 0.1199 0.2421
Li 0.8801 0.8801 0.7579
B 0.2006 0.2006 0.8920
B 0.4467 0.4467 0.3124
B 0.5533 0.5533 0.6876
B 0.7994 0.7994 0.1080
Se 0.0855 0.0855 0.8392
Se 0.2621 0.2621 0.2022
Se 0.4356 0.4356 0.6114
Se 0.5644 0.5644 0.3886
Se 0.7379 0.7379 0.7978
Se 0.9145 0.9145 0.1608

For the total moment, the calculation gives 0.0 μB per cell. The final energy is -26.3 eV per formula unit. For the volume, the calculation gives 231.0 Å³ per cell. As for the density of states at the Fermi level: 0.065 states/eV/atom.